1.
A plane-wave DFT calculation with GGA-PBE was carried out for crystalline Ac2Ge4Ir3Ru at its relaxed geometry.

```
data_Ac2Ge4Ir3Ru
_symmetry_space_group_name_H-M 'P -4 m 2'
_symmetry_Int_Tables_number 115
_cell_length_a 4.405
_cell_length_b 4.405
_cell_length_c 10.207
_cell_angle_alpha 90.00
_cell_angle_beta 90.00
_cell_angle_gamma 90.00
loop_
_symmetry_equiv_pos_as_xyz
'x,y,z'
'y,-x,-z'
'-x,-y,z'
'-y,x,-z'
'-x,y,z'
'-y,-x,-z'
'x,-y,z'
'y,x,-z'
loop_
_atom_site_label
_atom_site_type_symbol
_atom_site_fract_x
_atom_site_fract_y
_atom_site_fract_z
Ac1 Ac 0.000 0.500 0.249
Ge1 Ge 0.000 0.000 0.000
Ge2 Ge 0.000 0.500 0.623
Ge3 Ge 0.500 0.500 0.000
Ir1 Ir 0.000 0.500 0.875
Ir2 Ir 0.500 0.500 0.500
Ru1 Ru 0.000 0.000 0.500
```

Mass density ... 11.925 g/cm3
Energy of formation ... -720 meV per atom
V ... 19.8 A^3/atom


2.
A plane-wave DFT calculation with GGA-PBE was carried out for crystalline Ac2Ge3Ir4Ru at its relaxed geometry.

```
data_Ac2Ge3Ir4Ru
_symmetry_space_group_name_H-M 'P -4 m 2'
_symmetry_Int_Tables_number 115
_cell_length_a 4.335
_cell_length_b 4.335
_cell_length_c 10.498
_cell_angle_alpha 90.00
_cell_angle_beta 90.00
_cell_angle_gamma 90.00
loop_
_symmetry_equiv_pos_as_xyz
'x,y,z'
'y,-x,-z'
'-x,-y,z'
'-y,x,-z'
'-x,y,z'
'-y,-x,-z'
'x,-y,z'
'y,x,-z'
loop_
_atom_site_label
_atom_site_type_symbol
_atom_site_fract_x
_atom_site_fract_y
_atom_site_fract_z
Ac1 Ac 0.000 0.500 0.249
Ge1 Ge 0.000 0.000 0.000
Ge2 Ge 0.000 0.500 0.628
Ir1 Ir 0.000 0.000 0.500
Ir2 Ir 0.000 0.500 0.872
Ir3 Ir 0.500 0.500 0.500
Ru1 Ru 0.500 0.500 0.000
```

Mass density ... 12.975 g/cm3
Energy of formation ... -597 meV per atom
V ... 19.7 A^3/atom


Look up the V of the second one.
19.7 A^3/atom